[1]
Density functional theory data (PBE) for a relaxed H3Pd5Pt crystal.

POSCAR file:
```
H3Pd5Pt
1.0
8.819 0.000 0.000
0.000 3.419 3.360
0.000 -3.419 3.360
H Pd Pt
6 10 2
direct
0.000 0.000 0.000 H
0.167 0.460 0.460 H
0.324 0.988 0.988 H
0.500 0.466 0.466 H
0.676 0.988 0.988 H
0.833 0.460 0.460 H
0.000 0.238 0.672 Pd
0.000 0.672 0.238 Pd
0.167 0.740 0.740 Pd
0.334 0.240 0.673 Pd
0.334 0.673 0.240 Pd
0.500 0.174 0.174 Pd
0.500 0.742 0.742 Pd
0.666 0.240 0.673 Pd
0.666 0.673 0.240 Pd
0.833 0.740 0.740 Pd
0.168 0.175 0.175 Pt
0.832 0.175 0.175 Pt
```

Values from the calculation:
total energy = -4.700 eV per atom
symmetry = No. 38

***

[2]
Density functional theory data (PBE) for a relaxed TbPm3Mg3 crystal.

POSCAR file:
```
TbPm3Mg3
1.0
3.675 -5.381 0.000
3.675 5.381 0.000
-0.297 0.000 10.761
Tb Pm Mg
2 6 6
direct
0.214 0.214 0.490 Tb
0.786 0.786 0.510 Tb
0.033 0.033 0.830 Pm
0.274 0.726 0.500 Pm
0.325 0.675 0.000 Pm
0.675 0.325 0.000 Pm
0.726 0.274 0.500 Pm
0.967 0.967 0.170 Pm
0.000 0.484 0.251 Mg
0.000 0.516 0.749 Mg
0.484 0.000 0.251 Mg
0.500 0.500 0.259 Mg
0.500 0.500 0.741 Mg
0.516 0.000 0.749 Mg
```

Values from the calculation:
DFT formation energy = 83 meV/atom
symmetry = No. 12

***

no.,theoretical density (Mg/m³)
1,11.969
2,5.204